[1]
# Ba2HgRh

Ba2HgRh after structural relaxation (PBE-GGA, Alexandria via LeMat-Bulk).

Cell lengths 7.6846, 7.6846, 7.6846 Å; angles 90.00, 90.00, 90.00 degrees
Space group F-43m (No. 216)
Symmetry-distinct sites (fractional):
Ba1 0.0000 0.0000 0.0000 [4 per cell]
Ba2 0.2500 0.2500 0.2500 [4 per cell]
Hg1 0.0000 0.0000 0.5000 [4 per cell]
Rh1 0.2500 0.2500 0.7500 [4 per cell]

Electronic total energy   -2.883 eV/atom
Energy of formation from the pure elements   -0.035 eV/f.u.
Magnetization   0.0 μB/f.u.



[2]
# PaCoH6Pd

PaCoH6Pd after structural relaxation (PBE-GGA, Alexandria via LeMat-Bulk).

Cell lengths 4.5069, 4.5069, 4.1293 Å; angles 90.00, 90.00, 120.00 degrees
Space group P-6m2 (No. 187)
Symmetry-distinct sites (fractional):
Pa1 0.0000 0.0000 0.0000 [1 per cell]
Co1 0.6667 0.3333 0.5000 [1 per cell]
H1 0.5165 0.0330 0.2243 [6 per cell]
Pd1 0.3333 0.6667 0.5000 [1 per cell]

Electronic total energy   -4.873 eV/atom
Magnetization   0.7 μB/f.u.



[3]
# Ce2DyTl4

Ce2DyTl4 after structural relaxation (PBE-GGA, Alexandria via LeMat-Bulk).

Cell lengths 6.4521, 13.8383, 5.0731 Å; angles 90.00, 90.00, 90.00 degrees
Space group Cmmm (No. 65)
Symmetry-distinct sites (fractional):
Ce1 0.0000 0.1008 0.0000 [4 per cell]
Dy1 0.0000 0.5000 0.5000 [2 per cell]
Tl1 0.0000 0.2438 0.5000 [4 per cell]
Tl2 0.0000 0.3696 0.0000 [4 per cell]

Electronic total energy   -3.586 eV/atom
Energy of formation from the pure elements   0.831 eV/f.u.
Magnetization   2.5 μB/f.u.



[4]
# InAu2S

InAu2S after structural relaxation (PBE-GGA, Alexandria via LeMat-Bulk).

Cell lengths 6.1876, 6.1876, 11.1492 Å; angles 90.00, 90.00, 90.00 degrees
Space group I-42d (No. 122)
Symmetry-distinct sites (fractional):
In1 0.0000 0.0000 0.0000 [4 per cell]
Au1 0.1999 0.2500 0.6250 [8 per cell]
S1 0.0000 0.0000 0.5000 [4 per cell]

Electronic total energy   -3.282 eV/atom
Magnetization   0.0 μB/f.u.



[5]
# La3PmInOs

La3PmInOs after structural relaxation (PBE-GGA, Alexandria via LeMat-Bulk).

Cell lengths 16.5739, 7.7113, 6.1917 Å; angles 90.00, 111.80, 90.00 degrees
Space group C2/m (No. 12)
Symmetry-distinct sites (fractional):
La1 0.1185 0.2465 0.1173 [8 per cell]
La2 0.1747 0.0000 0.6728 [4 per cell]
Pm1 0.0000 0.3042 0.5000 [4 per cell]
In1 0.1949 0.5000 0.6952 [4 per cell]
Os1 0.0000 0.0000 0.2420 [4 per cell]

Electronic total energy   -5.871 eV/atom
Energy of formation from the pure elements   -1.726 eV/f.u.
Magnetization   0.0 μB/f.u.



[6]
# Ti3MnGa

Ti3MnGa after structural relaxation (PBE-GGA, Alexandria via LeMat-Bulk).

Cell lengths 4.7166, 4.7166, 4.7166 Å; angles 90.00, 90.00, 90.00 degrees
Space group Pm-3m (No. 221)
Symmetry-distinct sites (fractional):
Ti1 0.0000 0.0000 0.5000 [3 per cell]
Mn1 0.5000 0.5000 0.5000 [1 per cell]
Ga1 0.0000 0.0000 0.0000 [1 per cell]

Electronic total energy   -6.382 eV/atom
Energy of formation from the pure elements   3.969 eV/f.u.
Magnetization   4.1 μB/f.u.



[7]
# TcI2OF

TcI2OF after structural relaxation (PBE-GGA, Alexandria via LeMat-Bulk).

Cell lengths 5.4580, 5.4580, 3.7112 Å; angles 90.00, 90.00, 90.00 degrees
Space group P4/mmm (No. 123)
Symmetry-distinct sites (fractional):
Tc1 0.0000 0.0000 0.0000 [1 per cell]
I1 0.0000 0.5000 0.0000 [2 per cell]
O1 0.0000 0.0000 0.5000 [1 per cell]
F1 0.5000 0.5000 0.5000 [1 per cell]

Electronic total energy   -4.455 eV/atom
Magnetization   0.0 μB/f.u.



[8]
# LiDyHg5

LiDyHg5 after structural relaxation (PBE-GGA, Alexandria via LeMat-Bulk).

Cell lengths 6.5007, 8.3823, 6.5263 Å; angles 90.00, 90.00, 90.00 degrees
Space group Cmmm (No. 65)
Symmetry-distinct sites (fractional):
Li1 0.0000 0.0000 0.0000 [2 per cell]
Dy1 0.0000 0.5000 0.5000 [2 per cell]
Hg1 0.0000 0.5000 0.0000 [2 per cell]
Hg2 0.2500 0.2500 0.2545 [8 per cell]

Electronic total energy   -1.365 eV/atom
Energy of formation from the pure elements   -1.531 eV/f.u.
Magnetization   0.0 μB/f.u.



[9]
# Er4CuTe

Er4CuTe after structural relaxation (PBE-GGA, Alexandria via LeMat-Bulk).

Cell lengths 8.2694, 3.8798, 19.2602 Å; angles 90.00, 90.00, 90.00 degrees
Space group Pnma (No. 62)
Symmetry-distinct sites (fractional):
Er1 0.0173 0.2500 0.2168 [4 per cell]
Er2 0.0223 0.2500 0.9303 [4 per cell]
Er3 0.1227 0.2500 0.4450 [4 per cell]
Er4 0.1620 0.2500 0.6478 [4 per cell]
Cu1 0.2410 0.2500 0.0496 [4 per cell]
Te1 0.2171 0.7500 0.3127 [4 per cell]

Electronic total energy   -4.749 eV/atom
Magnetization   0.0 μB/f.u.



[10]
# BiPAuS

BiPAuS after structural relaxation (PBE-GGA, Alexandria via LeMat-Bulk).

Cell lengths 3.4015, 5.3531, 5.6740 Å; angles 65.19, 74.97, 88.76 degrees
Space group P1 (No. 1)
Symmetry-distinct sites (fractional):
Bi1 0.0000 0.0000 0.0000 [1 per cell]
P1 0.8385 0.3313 0.4729 [1 per cell]
Au1 0.4626 0.4527 0.0945 [1 per cell]
S1 0.7821 0.6626 0.5742 [1 per cell]

Electronic total energy   -4.103 eV/atom
Magnetization   0.0 μB/f.u.



[11]
# Sr2Ga2Si

Sr2Ga2Si after structural relaxation (PBE-GGA, Alexandria via LeMat-Bulk).

Cell lengths 12.1088, 4.1810, 11.5130 Å; angles 90.00, 111.90, 90.00 degrees
Space group C2/m (No. 12)
Symmetry-distinct sites (fractional):
Sr1 0.1006 0.0000 0.3975 [4 per cell]
Sr2 0.2077 0.5000 0.1386 [4 per cell]
Ga1 0.0273 0.0000 0.9071 [4 per cell]
Ga2 0.1269 0.5000 0.6263 [4 per cell]
Si1 0.0698 0.5000 0.8165 [4 per cell]

Electronic total energy   -3.424 eV/atom
Magnetization   0.0 μB/f.u.



[12]
# MgPRuO2

MgPRuO2 after structural relaxation (PBE-GGA, Alexandria via LeMat-Bulk).

Cell lengths 3.7769, 3.7769, 5.2467 Å; angles 90.00, 90.00, 90.00 degrees
Space group P4/mmm (No. 123)
Symmetry-distinct sites (fractional):
Mg1 0.0000 0.0000 0.0000 [1 per cell]
P1 0.5000 0.5000 0.0000 [1 per cell]
Ru1 0.5000 0.5000 0.5000 [1 per cell]
O1 0.0000 0.5000 0.5000 [2 per cell]

Electronic total energy   -5.818 eV/atom
Magnetization   0.5 μB/f.u.